[1]
Crystalline CdPdAuF6 at its relaxed geometry. Source: the Alexandria database, functional PBE.

Unit cell a=5.7789 b=5.7789 c=9.6762 alpha=90.00 beta=90.00 gamma=120.00
Space group P-31c (No. 163)
Symmetry-distinct sites (fractional):
Cd 0.3333 0.6667 0.2500 (multiplicity 2)
Pd 0.3333 0.6667 0.7500 (multiplicity 2)
Au 0.0000 0.0000 0.0000 (multiplicity 2)
F 0.0219 0.3555 0.6335 (multiplicity 12)

Summary:
ΔE_f (raw), eV per atom: -1.33
Spin magnetization, μB per formula unit: 1.0


[2]
Crystalline RbCdAuF6 at its relaxed geometry. Source: the Alexandria database, functional PBE.

Unit cell a=5.754 b=5.907 c=5.965 alpha=92.31 beta=93.27 gamma=111.73
Space group P1 (No. 1)
Symmetry-distinct sites (fractional):
Rb 0.000 0.000 0.000 (multiplicity 1)
Cd 0.321 0.690 0.506 (multiplicity 1)
Au 0.678 0.327 0.502 (multiplicity 1)
F 0.040 0.625 0.244 (multiplicity 1)
F 0.369 0.327 0.341 (multiplicity 1)
F 0.399 0.958 0.774 (multiplicity 1)
F 0.652 0.019 0.339 (multiplicity 1)
F 0.684 0.629 0.662 (multiplicity 1)
F 0.996 0.350 0.668 (multiplicity 1)

Summary:
ΔE_f (raw), eV per atom: -1.81
Spin magnetization, μB per formula unit: 0.0


[3]
Crystalline CdSbAu2F at its relaxed geometry. Source: the Alexandria database, functional PBE.

Unit cell a=5.188 b=5.188 c=5.413 alpha=90.00 beta=90.00 gamma=90.00
Space group P4/mmm (No. 123)
Symmetry-distinct sites (fractional):
Cd 0.000 0.000 0.000 (multiplicity 1)
Sb 0.000 0.000 0.500 (multiplicity 1)
Au 0.000 0.500 0.000 (multiplicity 2)
F 0.500 0.500 0.500 (multiplicity 1)

Summary:
ΔE_f (raw), eV per atom: 0.48
Spin magnetization, μB per formula unit: 0.0


[4]
Crystalline CdTeAuF2 at its relaxed geometry. Source: the Alexandria database, functional PBE.

Unit cell a=4.386 b=4.386 c=5.616 alpha=90.00 beta=90.00 gamma=90.00
Space group P4/mmm (No. 123)
Symmetry-distinct sites (fractional):
Cd 0.000 0.000 0.000 (multiplicity 1)
Te 0.500 0.500 0.000 (multiplicity 1)
Au 0.500 0.500 0.500 (multiplicity 1)
F 0.000 0.500 0.500 (multiplicity 2)

Summary:
ΔE_f (raw), eV per atom: -0.69
Spin magnetization, μB per formula unit: 0.0